The following is a GGA-PBE calculation of HfSc2OsO after structural relaxation, from Alexandria via LeMat-Bulk.

Calculated values
DOS(E_F): 3.787 states/eV per cell
E: -45.08 eV per cell
theoretical density: 9779 kg/m³
E above lowest polymorph: 0 meV per atom
raw formation energy: -1.256 eV per atom

Unit cell a=4.2237 b=4.2237 c=4.5180 alpha=90.00 beta=90.00 gamma=90.00
Space group P4/mmm (No. 123)
Inequivalent atoms, fractional coordinates:
Hf 0.0000 0.0000 0.0000
Sc 0.0000 0.5000 0.5000
Os 0.5000 0.5000 0.0000
O 0.0000 0.0000 0.5000


The following is a GGA-PBE calculation of Hf2SnOsO after structural relaxation, from Alexandria via LeMat-Bulk.

Calculated values
DOS(E_F): 3.156 states/eV per cell
E: -43.61 eV per cell
theoretical density: 13316 kg/m³
raw formation energy: -0.703 eV per atom

Unit cell a=4.2323 b=4.2323 c=4.7472 alpha=90.00 beta=90.00 gamma=90.00
Space group P4/mmm (No. 123)
Inequivalent atoms, fractional coordinates:
Hf 0.0000 0.5000 0.0000
Sn 0.0000 0.0000 0.5000
Os 0.5000 0.5000 0.5000
O 0.0000 0.0000 0.0000


The following is a GGA-PBE calculation of Sr2HfOs3O12 after structural relaxation, from Alexandria via LeMat-Bulk.

Calculated values
DOS(E_F): 20.480 states/eV per cell
E: -415.48 eV per cell
theoretical density: 6592 kg/m³
raw formation energy: -1.777 eV per atom

Unit cell a=7.2721 b=7.2721 c=18.4222 alpha=90.00 beta=90.00 gamma=120.00
Space group R-3m (No. 166, hexagonal axes)
Inequivalent atoms, fractional coordinates:
Sr 0.0000 0.0000 0.1914
Hf 0.0000 0.0000 0.5000
Os 0.0000 0.5000 0.0000
O 0.0480 0.5240 0.1072
O 0.0846 0.5423 0.3459


The following is a GGA-PBE calculation of HfTl2Os3O12 after structural relaxation, from Alexandria via LeMat-Bulk.

Calculated values
DOS(E_F): 35.516 states/eV per cell
E: -396.26 eV per cell
theoretical density: 8053 kg/m³
raw formation energy: -1.345 eV per atom

Unit cell a=7.2548 b=7.2548 c=18.3217 alpha=90.00 beta=90.00 gamma=120.00
Space group R-3m (No. 166, hexagonal axes)
Inequivalent atoms, fractional coordinates:
Hf 0.0000 0.0000 0.0000
Tl 0.0000 0.0000 0.3470
Os 0.0000 0.5000 0.5000
O 0.0578 0.5289 0.6035
O 0.0827 0.5413 0.8466


The following is a GGA-PBE calculation of HfPO3 after structural relaxation, from Alexandria via LeMat-Bulk.

Calculated values
DOS(E_F): 3.596 states/eV per cell
E: -34.73 eV per cell
theoretical density: 8000 kg/m³
raw formation energy: -0.898 eV per atom

Unit cell a=3.7667 b=3.7667 c=3.7667 alpha=90.00 beta=90.00 gamma=90.00
Space group Pm-3m (No. 221)
Inequivalent atoms, fractional coordinates:
Hf 0.0000 0.0000 0.0000
P 0.5000 0.5000 0.5000
O 0.0000 0.5000 0.5000


The following is a GGA-PBE calculation of HfPO2 after structural relaxation, from Alexandria via LeMat-Bulk.

Calculated values
DOS(E_F): 5.818 states/eV per cell
E: -85.31 eV per cell
theoretical density: 7167 kg/m³
raw formation energy: -0.789 eV per atom

Unit cell a=3.2665 b=3.2665 c=18.1624 alpha=90.00 beta=90.00 gamma=120.00
Space group R-3m (No. 166, hexagonal axes)
Inequivalent atoms, fractional coordinates:
Hf 0.0000 0.0000 0.0000
P 0.0000 0.0000 0.5000
O 0.0000 0.0000 0.1129


The following is a GGA-PBE calculation of HfPO after structural relaxation, from Alexandria via LeMat-Bulk.

Calculated values
DOS(E_F): 4.952 states/eV per cell
E: -102.84 eV per cell
theoretical density: 7502 kg/m³
raw formation energy: -1.796 eV per atom

Unit cell a=3.6344 b=15.2145 c=3.6100 alpha=90.00 beta=90.00 gamma=90.00
Space group Cmcm (No. 63)
Inequivalent atoms, fractional coordinates:
Hf 0.0000 0.1719 0.2500
P 0.0000 0.4495 0.7500
O 0.0000 0.2375 0.7500


The following is a GGA-PBE calculation of HfPO4 after structural relaxation, from Alexandria via LeMat-Bulk.

Calculated values
DOS(E_F): 3.311 states/eV per cell
E: -97.22 eV per cell
theoretical density: 5252 kg/m³
raw formation energy: -2.236 eV per atom

Unit cell a=4.2501 b=4.2501 c=9.5729 alpha=90.00 beta=90.00 gamma=90.00
Space group P-42c (No. 112)
Inequivalent atoms, fractional coordinates:
Hf 0.0000 0.0000 0.0000
P 0.0000 0.5000 0.2500
O 0.1979 0.2841 0.3482


The following is a GGA-PBE calculation of HfP3O after structural relaxation, from Alexandria via LeMat-Bulk.

Calculated values
DOS(E_F): 1.192 states/eV per cell
E: -31.67 eV per cell
theoretical density: 6674 kg/m³
E above lowest polymorph: 0 meV per atom
raw formation energy: -0.105 eV per atom

Unit cell a=4.1508 b=4.1508 c=4.1508 alpha=90.00 beta=90.00 gamma=90.00
Space group Pm-3m (No. 221)
Inequivalent atoms, fractional coordinates:
Hf 0.0000 0.0000 0.0000
P 0.0000 0.5000 0.5000
O 0.5000 0.5000 0.5000


The following is a GGA-PBE calculation of Hf6PO after structural relaxation, from Alexandria via LeMat-Bulk.

Calculated values
DOS(E_F): 13.632 states/eV per cell
E: -231.97 eV per cell
theoretical density: 11936 kg/m³
raw formation energy: -0.904 eV per atom

Unit cell a=5.7239 b=5.7239 c=16.4439 alpha=90.00 beta=90.00 gamma=120.00
Space group R-3 (No. 148, hexagonal axes)
Inequivalent atoms, fractional coordinates:
Hf 0.0018 0.3471 0.4087
P 0.0000 0.0000 0.5000
O 0.0000 0.0000 0.0000


The following is a GGA-PBE calculation of HfPO2 after structural relaxation, from Alexandria via LeMat-Bulk.

Calculated values
DOS(E_F): 4.677 states/eV per cell
E: -125.60 eV per cell
theoretical density: 4968 kg/m³
raw formation energy: -1.530 eV per atom

Unit cell a=5.9831 b=5.9831 c=9.0192 alpha=90.00 beta=90.00 gamma=90.00
Space group I-42d (No. 122)
Inequivalent atoms, fractional coordinates:
Hf 0.0000 0.0000 0.0000
P 0.0000 0.0000 0.5000
O 0.0828 0.2500 0.1250


The following is a GGA-PBE calculation of HfP2O7 after structural relaxation, from Alexandria via LeMat-Bulk.

Calculated values
DOS(E_F): 0.000 states/eV per cell
E: -330.10 eV per cell
theoretical density: 3812 kg/m³
E above lowest polymorph: 0 meV per atom
raw formation energy: -2.705 eV per atom

Unit cell a=5.4247 b=13.1111 c=10.1939 alpha=90.00 beta=122.11 gamma=90.00
Space group P2_1/c (No. 14)
Inequivalent atoms, fractional coordinates:
Hf 0.0884 0.1467 0.3403
P 0.3142 0.6921 0.5664
P 0.4525 0.0270 0.6967
O 0.1263 0.7394 0.6203
O 0.1474 0.6771 0.3920
O 0.2203 0.5433 0.1873
O 0.3076 0.0322 0.3051
O 0.3259 0.1117 0.5758
O 0.3964 0.5784 0.6346
O 0.4028 0.2496 0.3744


The following is a GGA-PBE calculation of HfP2O7 after structural relaxation, from Alexandria via LeMat-Bulk.

Calculated values
DOS(E_F): 0.000 states/eV per cell
E: -329.59 eV per cell
theoretical density: 3848 kg/m³
E above lowest polymorph: 13 meV per atom
raw formation energy: -2.692 eV per atom

Unit cell a=8.4735 b=8.4735 c=8.4735 alpha=90.00 beta=90.00 gamma=90.00
Space group Pa-3 (No. 205)
Inequivalent atoms, fractional coordinates:
Hf 0.0000 0.0000 0.0000
P 0.1079 0.6079 0.8921
O 0.0000 0.0000 0.5000
O 0.0577 0.7223 0.4215


The following is a GGA-PBE calculation of HfP2O10 after structural relaxation, from Alexandria via LeMat-Bulk.

Calculated values
DOS(E_F): 11.432 states/eV per cell
E: -180.54 eV per cell
theoretical density: 3015 kg/m³
raw formation energy: -1.532 eV per atom

Unit cell a=5.4178 b=6.6380 c=12.5424 alpha=90.00 beta=102.08 gamma=90.00
Space group P2_1 (No. 4)
Inequivalent atoms, fractional coordinates:
Hf 0.1801 0.0000 0.3699
P 0.2331 0.4989 0.4434
P 0.3971 0.4431 0.8151
O 0.0562 0.4973 0.5250
O 0.1291 0.5070 0.7630
O 0.1805 0.6881 0.3712
O 0.1863 0.3098 0.3709
O 0.2338 0.7163 0.9919
O 0.2878 0.5380 0.1271
O 0.3846 0.2150 0.8491
O 0.4145 0.9828 0.2569
O 0.4907 0.0003 0.4931
O 0.4966 0.0462 0.0718


The following is a GGA-PBE calculation of Hf2PO after structural relaxation, from Alexandria via LeMat-Bulk.

Calculated values
DOS(E_F): 7.248 states/eV per cell
E: -140.45 eV per cell
theoretical density: 11532 kg/m³
E above lowest polymorph: 204 meV per atom
raw formation energy: -1.210 eV per atom

Unit cell a=6.1505 b=6.1505 c=6.1505 alpha=90.00 beta=90.00 gamma=90.00
Space group Fm-3m (No. 225)
Inequivalent atoms, fractional coordinates:
Hf 0.2500 0.2500 0.2500
P 0.0000 0.0000 0.0000
O 0.0000 0.0000 0.5000


The following is a GGA-PBE calculation of HfPO2 after structural relaxation, from Alexandria via LeMat-Bulk.

Calculated values
DOS(E_F): 4.807 states/eV per cell
E: -96.58 eV per cell
theoretical density: 7339 kg/m³
raw formation energy: -1.729 eV per atom

Unit cell a=3.1272 b=3.1272 c=19.3534 alpha=90.00 beta=90.00 gamma=120.00
Space group R-3m (No. 166, hexagonal axes)
Inequivalent atoms, fractional coordinates:
Hf 0.0000 0.0000 0.0000
P 0.0000 0.0000 0.5000
O 0.0000 0.0000 0.3920


The following is a GGA-PBE calculation of Hf4PO after structural relaxation, from Alexandria via LeMat-Bulk.

Calculated values
DOS(E_F): 11.327 states/eV per cell
E: -227.40 eV per cell
theoretical density: 11529 kg/m³
raw formation energy: -1.111 eV per atom

Unit cell a=7.9380 b=7.9380 c=6.9572 alpha=90.00 beta=90.00 gamma=90.00
Space group I4_1md (No. 109)
Inequivalent atoms, fractional coordinates:
Hf 0.0000 0.1967 0.0000
Hf 0.0000 0.2171 0.4622
P 0.0000 0.0000 0.7174
O 0.0000 0.0000 0.2432


The following is a GGA-PBE calculation of HfP3O after structural relaxation, from Alexandria via LeMat-Bulk.

Calculated values
DOS(E_F): 5.964 states/eV per cell
E: -26.70 eV per cell
theoretical density: 3932 kg/m³
E above lowest polymorph: 993 meV per atom
raw formation energy: 0.888 eV per atom

Unit cell a=4.9511 b=4.9511 c=4.9511 alpha=90.00 beta=90.00 gamma=90.00
Space group Pm-3m (No. 221)
Inequivalent atoms, fractional coordinates:
Hf 0.0000 0.0000 0.0000
P 0.0000 0.0000 0.5000
O 0.5000 0.5000 0.5000


The following is a GGA-PBE calculation of HfPO3 after structural relaxation, from Alexandria via LeMat-Bulk.

Calculated values
DOS(E_F): 1.508 states/eV per cell
E: -37.62 eV per cell
theoretical density: 6439 kg/m³
raw formation energy: -1.476 eV per atom

Unit cell a=4.0493 b=4.0493 c=4.0493 alpha=90.00 beta=90.00 gamma=90.00
Space group Pm-3m (No. 221)
Inequivalent atoms, fractional coordinates:
Hf 0.0000 0.0000 0.0000
P 0.5000 0.5000 0.5000
O 0.0000 0.0000 0.5000


The following is a GGA-PBE calculation of HfP2O after structural relaxation, from Alexandria via LeMat-Bulk.

Calculated values
DOS(E_F): 10.234 states/eV per cell
E: -102.26 eV per cell
theoretical density: 5868 kg/m³
raw formation energy: 0.041 eV per atom

Unit cell a=5.0422 b=5.0422 c=11.4174 alpha=90.00 beta=90.00 gamma=90.00
Space group I-42d (No. 122)
Inequivalent atoms, fractional coordinates:
Hf 0.0000 0.0000 0.0000
P 0.1579 0.2500 0.6250
O 0.0000 0.0000 0.5000